Record 1
VASP calculation (PBE) on RbPb2Au2 after structural relaxation.

For the volume, the calculation gives 148 Å³ per cell. Its space group is I4/mmm. The uncorrected energy comes out at -3.14 eV/atom. The crystal system is tetragonal.

Lattice parameters (Å, degrees): 7.123 7.123 7.123 139.92 139.92 57.97
Fractional coordinates of all 5 atoms:
Rb1 0.000 0.000 0.000
Pb1 0.250 0.750 0.500
Pb2 0.750 0.250 0.500
Au1 0.389 0.389 0.000
Au2 0.611 0.611 0.000

Record 2
VASP calculation (PBE) on RbPbAuSe2S after structural relaxation.

For the volume, the calculation gives 340 Å³ per cell. Its space group is Cmcm. The uncorrected energy comes out at -3.58 eV/atom. The crystal system is orthorhombic.

Lattice parameters (Å, degrees): 6.820 6.820 11.737 90.00 90.00 141.49
Fractional coordinates of all 12 atoms:
Rb1 0.210 0.790 0.750
Rb2 0.790 0.210 0.250
Pb1 0.500 0.500 0.000
Pb2 0.500 0.500 0.500
Au1 0.077 0.923 0.250
Au2 0.923 0.077 0.750
Se1 0.153 0.847 0.043
Se2 0.153 0.847 0.457
Se3 0.847 0.153 0.543
Se4 0.847 0.153 0.957
S1 0.497 0.503 0.250
S2 0.503 0.497 0.750

Record 3
VASP calculation (PBE) on RbTe2PbAuS after structural relaxation.

For the volume, the calculation gives 372 Å³ per cell. Its space group is Cmcm. The uncorrected energy comes out at -3.43 eV/atom. The crystal system is orthorhombic.

Lattice parameters (Å, degrees): 7.126 7.126 12.252 90.00 90.00 143.30
Fractional coordinates of all 12 atoms:
Rb1 0.217 0.783 0.750
Rb2 0.783 0.217 0.250
Te1 0.164 0.836 0.040
Te2 0.164 0.836 0.460
Te3 0.836 0.164 0.540
Te4 0.836 0.164 0.960
Pb1 0.500 0.500 0.000
Pb2 0.500 0.500 0.500
Au1 0.053 0.947 0.250
Au2 0.947 0.053 0.750
S1 0.484 0.516 0.250
S2 0.516 0.484 0.750

Record 4
VASP calculation (PBE) on RbSb2Pb2Au after structural relaxation.

For the volume, the calculation gives 212 Å³ per cell. Its space group is P3m1. The uncorrected energy comes out at -3.37 eV/atom. The crystal system is trigonal.

Lattice parameters (Å, degrees): 4.857 4.857 10.396 90.00 90.00 120.00
Fractional coordinates of all 6 atoms:
Rb1 0.000 0.000 0.000
Sb1 0.000 0.000 0.598
Sb2 0.333 0.667 0.218
Pb1 0.667 0.333 0.351
Pb2 0.667 0.333 0.731
Au1 0.333 0.667 0.494

Record 5
VASP calculation (PBE) on RbPbAu3Se4 after structural relaxation.

For the volume, the calculation gives 299 Å³ per cell. Its space group is P-43m. The uncorrected energy comes out at -3.18 eV/atom. The crystal system is cubic.

Lattice parameters (Å, degrees): 6.686 6.686 6.686 90.00 90.00 90.00
Fractional coordinates of all 9 atoms:
Rb1 0.000 0.000 0.000
Pb1 0.500 0.500 0.500
Au1 0.000 0.500 0.500
Au2 0.500 0.000 0.500
Au3 0.500 0.500 0.000
Se1 0.274 0.274 0.274
Se2 0.274 0.726 0.726
Se3 0.726 0.274 0.726
Se4 0.726 0.726 0.274

Record 6
VASP calculation (PBE) on RbTePbAuSe2 after structural relaxation.

For the volume, the calculation gives 394 Å³ per cell. Its space group is Cmcm. The uncorrected energy comes out at -3.36 eV/atom. The crystal system is orthorhombic.

Lattice parameters (Å, degrees): 8.386 8.386 11.695 90.00 90.00 151.37
Fractional coordinates of all 12 atoms:
Rb1 0.239 0.761 0.750
Rb2 0.761 0.239 0.250
Te1 0.066 0.934 0.250
Te2 0.934 0.066 0.750
Pb1 0.000 0.000 0.000
Pb2 0.000 0.000 0.500
Au1 0.449 0.551 0.250
Au2 0.551 0.449 0.750
Se1 0.376 0.624 0.055
Se2 0.376 0.624 0.445
Se3 0.624 0.376 0.555
Se4 0.624 0.376 0.945

Record 7
VASP calculation (PBE) on ScPbAuS3 after structural relaxation.

For the volume, the calculation gives 565 Å³ per cell. Its space group is Pnma. The uncorrected energy comes out at -5.17 eV/atom. The crystal system is orthorhombic.

Lattice parameters (Å, degrees): 11.535 3.852 12.712 90.00 90.00 90.00
Fractional coordinates of all 24 atoms:
Sc1 0.036 0.250 0.143
Sc2 0.464 0.750 0.643
Sc3 0.536 0.250 0.357
Sc4 0.964 0.750 0.857
Pb1 0.142 0.250 0.558
Pb2 0.358 0.750 0.058
Pb3 0.642 0.250 0.942
Pb4 0.858 0.750 0.442
Au1 0.220 0.750 0.367
Au2 0.280 0.250 0.867
Au3 0.720 0.750 0.133
Au4 0.780 0.250 0.633
S1 0.037 0.750 0.285
S2 0.094 0.250 0.940
S3 0.246 0.750 0.673
S4 0.254 0.250 0.173
S5 0.406 0.750 0.440
S6 0.463 0.250 0.785
S7 0.537 0.750 0.215
S8 0.594 0.250 0.560
S9 0.746 0.750 0.827
S10 0.754 0.250 0.327
S11 0.906 0.750 0.060
S12 0.963 0.250 0.715

Record 8
VASP calculation (PBE) on ScPbAuS3 after structural relaxation.

For the volume, the calculation gives 538 Å³ per cell. Its space group is Pnma. The uncorrected energy comes out at -5.19 eV/atom. The crystal system is orthorhombic.

Lattice parameters (Å, degrees): 13.371 3.797 10.599 90.00 90.00 90.00
Fractional coordinates of all 24 atoms:
Sc1 0.013 0.250 0.164
Sc2 0.487 0.750 0.664
Sc3 0.513 0.250 0.336
Sc4 0.987 0.750 0.836
Pb1 0.238 0.250 0.399
Pb2 0.262 0.750 0.899
Pb3 0.738 0.250 0.101
Pb4 0.762 0.750 0.601
Au1 0.044 0.250 0.570
Au2 0.456 0.750 0.070
Au3 0.544 0.250 0.930
Au4 0.956 0.750 0.430
S1 0.095 0.250 0.942
S2 0.128 0.750 0.242
S3 0.129 0.750 0.668
S4 0.371 0.250 0.168
S5 0.372 0.250 0.742
S6 0.405 0.750 0.442
S7 0.595 0.250 0.558
S8 0.628 0.750 0.258
S9 0.629 0.750 0.832
S10 0.871 0.250 0.332
S11 0.872 0.250 0.758
S12 0.905 0.750 0.058

Record 9
VASP calculation (PBE) on ScPbAuS3 after structural relaxation.

For the volume, the calculation gives 261 Å³ per cell. Its space group is C2/m. The uncorrected energy comes out at -5.14 eV/atom. The crystal system is monoclinic.

Lattice parameters (Å, degrees): 8.804 8.804 8.186 101.32 101.32 24.86
Fractional coordinates of all 12 atoms:
Sc1 0.165 0.165 0.088
Sc2 0.835 0.835 0.912
Pb1 0.133 0.133 0.583
Pb2 0.867 0.867 0.417
Au1 0.458 0.458 0.779
Au2 0.542 0.542 0.221
S1 0.000 0.000 0.000
S2 0.312 0.312 0.686
S3 0.322 0.322 0.126
S4 0.500 0.500 0.500
S5 0.678 0.678 0.874
S6 0.688 0.688 0.314

Record 10
VASP calculation (PBE) on ScPbAuS3 after structural relaxation.

For the volume, the calculation gives 265 Å³ per cell. Its space group is P2_1/m. The uncorrected energy comes out at -5.17 eV/atom. The crystal system is monoclinic.

Lattice parameters (Å, degrees): 7.586 3.871 9.459 90.00 107.72 90.00
Fractional coordinates of all 12 atoms:
Sc1 0.184 0.250 0.161
Sc2 0.816 0.750 0.839
Pb1 0.242 0.750 0.716
Pb2 0.758 0.250 0.284
Au1 0.369 0.750 0.409
Au2 0.631 0.250 0.591
S1 0.068 0.250 0.876
S2 0.177 0.250 0.450
S3 0.419 0.750 0.163
S4 0.581 0.250 0.837
S5 0.823 0.750 0.550
S6 0.932 0.750 0.124

Record 11
VASP calculation (PBE) on ScPbAuS3 after structural relaxation.

For the volume, the calculation gives 284 Å³ per cell. Its space group is Cmcm. The uncorrected energy comes out at -5.24 eV/atom. The crystal system is orthorhombic.

Lattice parameters (Å, degrees): 7.411 7.411 10.165 90.00 90.00 149.41
Fractional coordinates of all 12 atoms:
Sc1 0.000 0.000 0.000
Sc2 0.000 0.000 0.500
Pb1 0.310 0.690 0.750
Pb2 0.690 0.310 0.250
Au1 0.359 0.641 0.250
Au2 0.641 0.359 0.750
S1 0.049 0.951 0.250
S2 0.378 0.622 0.022
S3 0.378 0.622 0.478
S4 0.622 0.378 0.522
S5 0.622 0.378 0.978
S6 0.951 0.049 0.750

Record 12
VASP calculation (PBE) on ScPbAuS3 after structural relaxation.

For the volume, the calculation gives 569 Å³ per cell. Its space group is Pnma. The uncorrected energy comes out at -5.23 eV/atom. The crystal system is orthorhombic.

Lattice parameters (Å, degrees): 10.157 3.909 14.323 90.00 90.00 90.00
Fractional coordinates of all 24 atoms:
Sc1 0.020 0.250 0.248
Sc2 0.480 0.750 0.748
Sc3 0.520 0.250 0.252
Sc4 0.980 0.750 0.752
Pb1 0.238 0.250 0.941
Pb2 0.262 0.750 0.441
Pb3 0.738 0.250 0.559
Pb4 0.762 0.750 0.059
Au1 0.232 0.250 0.611
Au2 0.268 0.750 0.111
Au3 0.732 0.250 0.889
Au4 0.768 0.750 0.389
S1 0.005 0.250 0.632
S2 0.039 0.750 0.126
S3 0.232 0.750 0.801
S4 0.268 0.250 0.301
S5 0.461 0.250 0.626
S6 0.495 0.750 0.132
S7 0.505 0.250 0.868
S8 0.539 0.750 0.374
S9 0.732 0.750 0.699
S10 0.768 0.250 0.199
S11 0.961 0.250 0.874
S12 0.995 0.750 0.368